DFT (PBE) results for a relaxed structure of Th2InGe3Pt4.

Lattice parameters (Å, degrees): 4.2806 4.2806 10.9640 90.00 90.00 90.00
Space group P-4m2 (No. 115)
One atom of each set of equivalent atoms:
Th1 0.0000 0.5000 0.2337
In1 0.0000 0.0000 0.5000
Ge1 0.0000 0.5000 0.8731
Ge2 0.5000 0.5000 0.5000
Pt1 0.0000 0.0000 0.0000
Pt2 0.0000 0.5000 0.6509
Pt3 0.5000 0.5000 0.0000

calculated density: 13036 kg/m³
formation enthalpy at 0 K: -843 kJ/mol of formula units
total moment: 0.00 μB per formula unit
crystal system: tetragonal

***

DFT (PBE) results for a relaxed structure of ThIn2Ge2Pt7.

Lattice parameters (Å, degrees): 5.7062 5.7412 14.9257 90.00 96.54 90.00
Space group C2/m (No. 12)
One atom of each set of equivalent atoms:
Th1 0.0000 0.0000 0.0000
In1 0.1140 0.0000 0.4095
Ge1 0.0804 0.5000 0.2542
Pt1 0.0000 0.5000 0.0000
Pt2 0.1100 0.5000 0.4173
Pt3 0.2020 0.2506 0.8478

calculated density: 13485 kg/m³
formation enthalpy at 0 K: -696 kJ/mol of formula units
total moment: 0.00 μB per formula unit
crystal system: monoclinic

***

DFT (PBE) results for a relaxed structure of TmInGePt.

Lattice parameters (Å, degrees): 6.8672 6.8672 6.8672 90.00 90.00 90.00
Space group F-43m (No. 216)
One atom of each set of equivalent atoms:
Tm1 0.0000 0.0000 0.0000
In1 0.0000 0.0000 0.5000
Ge1 0.2500 0.2500 0.2500
Pt1 0.2500 0.2500 0.7500

calculated density: 11311 kg/m³
formation enthalpy at 0 K: -238 kJ/mol of formula units
total moment: 0.00 μB per formula unit
crystal system: cubic

***

DFT (PBE) results for a relaxed structure of Y2InGe3Pt4.

Lattice parameters (Å, degrees): 4.2261 4.2261 10.9364 90.00 90.00 90.00
Space group P-4m2 (No. 115)
One atom of each set of equivalent atoms:
Y1 0.0000 0.5000 0.2377
In1 0.0000 0.0000 0.5000
Ge1 0.0000 0.5000 0.8714
Ge2 0.5000 0.5000 0.5000
Pt1 0.0000 0.0000 0.0000
Pt2 0.0000 0.5000 0.6517
Pt3 0.5000 0.5000 0.0000

calculated density: 10975 kg/m³
formation enthalpy at 0 K: -818 kJ/mol of formula units
total moment: 0.00 μB per formula unit
crystal system: tetragonal

***

DFT (PBE) results for a relaxed structure of ZnInGe2Pt.

Lattice parameters (Å, degrees): 5.2169 5.2169 5.0475 90.00 90.00 90.00
Space group P4/mmm (No. 123)
One atom of each set of equivalent atoms:
Zn1 0.0000 0.0000 0.0000
In1 0.5000 0.5000 0.5000
Ge1 0.0000 0.5000 0.5000
Pt1 0.5000 0.5000 0.0000

calculated density: 6293 kg/m³
formation enthalpy at 0 K: 445 kJ/mol of formula units
total moment: 0.00 μB per formula unit
crystal system: tetragonal

***

DFT (PBE) results for a relaxed structure of Pu4InGe2.

Lattice parameters (Å, degrees): 5.7678 5.7678 11.1296 90.00 90.00 90.00
Space group I4/mmm (No. 139)
One atom of each set of equivalent atoms:
Pu1 0.0000 0.5000 0.0000
Pu2 0.0000 0.5000 0.2500
In1 0.0000 0.0000 0.0000
Ge1 0.0000 0.0000 0.3797

calculated density: 11088 kg/m³
formation enthalpy at 0 K: 25 kJ/mol of formula units
total moment: 23.60 μB per formula unit
energy relative to the lowest polymorph listed for this composition: 59 meV/atom
crystal system: tetragonal

***

DFT (PBE) results for a relaxed structure of Pu2In5Ge.

Lattice parameters (Å, degrees): 6.5460 13.0847 4.5477 90.00 90.00 90.00
Space group Pbam (No. 55)
One atom of each set of equivalent atoms:
Pu1 0.2128 0.1132 0.0000
In1 0.0000 0.5000 0.5000
In2 0.0346 0.7514 0.5000
In3 0.2172 0.3675 0.0000
Ge1 0.0000 0.0000 0.5000

calculated density: 9675 kg/m³
formation enthalpy at 0 K: -193 kJ/mol of formula units
total moment: 11.14 μB per formula unit
crystal system: orthorhombic

***

DFT (PBE) results for a relaxed structure of Pu4InGe2.

Lattice parameters (Å, degrees): 5.0415 5.0415 21.9988 90.00 90.00 120.00
Space group R-3m (No. 166, hexagonal axes)
One atom of each set of equivalent atoms:
Pu1 0.0000 0.0000 0.0750
Pu2 0.0000 0.0000 0.2504
In1 0.0000 0.0000 0.5000
Ge1 0.0000 0.0000 0.3803

calculated density: 12717 kg/m³
formation enthalpy at 0 K: -15 kJ/mol of formula units
total moment: 0.72 μB per formula unit
energy relative to the lowest polymorph listed for this composition: 0 meV/atom
crystal system: trigonal

***

DFT (PBE) results for a relaxed structure of Pu2In3Ge3.

Lattice parameters (Å, degrees): 4.2224 4.4712 9.4211 90.00 90.00 90.00
Space group Pmmm (No. 47)
One atom of each set of equivalent atoms:
Pu1 0.0000 0.0000 0.2360
In1 0.0000 0.5000 0.0000
In2 0.0000 0.5000 0.5000
In3 0.5000 0.0000 0.5000
Ge1 0.5000 0.0000 0.0000
Ge2 0.5000 0.5000 0.2477

calculated density: 9806 kg/m³
formation enthalpy at 0 K: -228 kJ/mol of formula units
total moment: 10.61 μB per formula unit
crystal system: orthorhombic

***

DFT (PBE) results for a relaxed structure of Pu6InGe.

Lattice parameters (Å, degrees): 4.4665 4.4665 9.3137 90.00 90.00 90.00
Space group P4/mmm (No. 123)
One atom of each set of equivalent atoms:
Pu1 0.0000 0.0000 0.0000
Pu2 0.0000 0.0000 0.5000
Pu3 0.0000 0.5000 0.2363
In1 0.5000 0.5000 0.5000
Ge1 0.5000 0.5000 0.0000

calculated density: 14759 kg/m³
formation enthalpy at 0 K: -74 kJ/mol of formula units
total moment: 10.88 μB per formula unit
crystal system: tetragonal

***

DFT (PBE) results for a relaxed structure of PuInGe2.

Lattice parameters (Å, degrees): 3.7033 3.7033 6.4512 90.00 90.00 90.00
Space group P4/mmm (No. 123)
One atom of each set of equivalent atoms:
Pu1 0.0000 0.0000 0.0000
In1 0.0000 0.0000 0.5000
Ge1 0.5000 0.5000 0.2803

calculated density: 9461 kg/m³
formation enthalpy at 0 K: -40 kJ/mol of formula units
total moment: 5.84 μB per formula unit
crystal system: tetragonal

***

DFT (PBE) results for a relaxed structure of PuInGe4.

Lattice parameters (Å, degrees): 7.9461 7.9461 7.9461 90.00 90.00 90.00
Space group F-43m (No. 216)
One atom of each set of equivalent atoms:
Pu1 0.0000 0.0000 0.0000
In1 0.2500 0.2500 0.7500
Ge1 0.1252 0.1252 0.3748

calculated density: 8597 kg/m³
formation enthalpy at 0 K: -41 kJ/mol of formula units
total moment: 5.66 μB per formula unit
crystal system: cubic